KSc4Se: PBEsol geometry, meta-GGA SCAN.

abc: 6.116 6.116 6.116
angles: 60.00 60.00 60.00
Element x y z (fractional)
K1 0.000 0.000 0.000
Sc1 0.125 0.625 0.625
Sc2 0.625 0.125 0.625
Sc3 0.625 0.625 0.125
Sc4 0.625 0.625 0.625
Se1 0.250 0.250 0.250

- Formation energy from raw total energies: 0.48 eV/atom

=====

ZnAsSe2Br: PBEsol geometry, meta-GGA SCAN.

abc: 4.715 4.715 5.172
angles: 90.00 90.00 90.00
Element x y z (fractional)
Zn1 0.000 0.000 0.000
As1 0.000 0.000 0.500
Se1 0.000 0.500 0.000
Se2 0.500 0.000 0.000
Br1 0.500 0.500 0.500

- Formation energy from raw total energies: 0.59 eV/atom